## HoPuCoNi (PBE-GGA)

Data for an optimized crystal structure of HoPuCoNi.

```
HoPuCoNi
1.0
-2.023 -4.100 -1.169
2.262 -4.062 0.808
-1.531 -2.923 3.374
Ni Co Pu Ho
1 1 1 1
Cartesian
0.000 0.000 0.000 Ni
-0.646 -5.543 1.506 Co
-0.323 -2.771 0.753 Pu
-0.968 -8.314 2.259 Ho
```

Properties
For the density, the calculation gives 11765 kg/m3. The calculated volume is 74 Å³ per cell. The total magnetic moment is 4.907 μB/f.u. The value obtained for the density of states at the Fermi level is 2.9981 states/eV per atom. Its total DFT energy (no corrections) is -8.045 eV/atom. Its space-group type is F-43m (216).



## ZrCu2AgAu (PBE-GGA)

Data for an optimized crystal structure of ZrCu2AgAu.

```
ZrCu2AgAu
1.0
4.604 0.000 0.000
0.000 5.027 0.000
0.000 0.000 4.604
Zr Cu Au Ag
1 2 1 1
Cartesian
2.302 2.514 2.302 Zr
0.000 0.000 2.302 Cu
2.302 0.000 0.000 Cu
0.000 2.514 0.000 Au
0.000 0.000 0.000 Ag
```

Properties
For the density, the calculation gives 8151 kg/m3. The calculated volume is 107 Å³ per cell. The total magnetic moment is 1.002 μB/f.u. The value obtained for the density of states at the Fermi level is 0.9977 states/eV per atom. Its total DFT energy (no corrections) is -3.771 eV/atom. Its space-group type is P4/mmm (123).



## Sr2CaTl8 (PBE-GGA)

Data for an optimized crystal structure of Sr2CaTl8.

```
Sr2CaTl8
1.0
5.158 0.000 -1.570
-1.245 7.200 -4.089
-0.015 0.360 9.210
Tl Ca Sr
8 1 2
Cartesian
1.219 4.369 4.005 Tl
2.198 5.976 -2.036 Tl
0.563 1.148 1.850 Tl
1.700 1.583 5.587 Tl
2.680 3.191 -0.454 Tl
-0.376 2.176 -1.236 Tl
4.275 5.384 4.787 Tl
3.336 6.412 1.702 Tl
2.579 0.000 -0.785 Ca
3.675 2.234 2.815 Sr
0.224 5.326 0.736 Sr
```

Properties
For the density, the calculation gives 8775 kg/m3. The calculated volume is 350 Å³ per cell. The total magnetic moment is 0.000 μB/f.u. The value obtained for the density of states at the Fermi level is 0.4478 states/eV per atom. Its total DFT energy (no corrections) is -2.425 eV/atom. Its space-group type is Immm (71).



## NaAsHAu2 (PBE-GGA)

Data for an optimized crystal structure of NaAsHAu2.

```
NaAsHAu2
1.0
5.184 0.000 0.000
0.000 3.399 0.000
0.000 0.000 5.184
Au Na H As
2 1 1 1
Cartesian
0.000 0.000 2.592 Au
2.592 0.000 0.000 Au
0.000 0.000 0.000 Na
0.000 1.700 0.000 H
2.592 1.700 2.592 As
```

Properties
For the density, the calculation gives 8958 kg/m3. The calculated volume is 91 Å³ per cell. The total magnetic moment is 0.388 μB/f.u. The value obtained for the density of states at the Fermi level is 0.5230 states/eV per atom. Its total DFT energy (no corrections) is -2.441 eV/atom. As for the energy above the most stable polymorph in this dataset: 759 meV/atom. Its space-group type is P4/mmm (123).



## UBiH (PBE-GGA)

Data for an optimized crystal structure of UBiH.

```
UBiH
1.0
-2.984 -0.852 0.951
-0.765 -0.744 -3.065
3.719 -4.690 1.929
H Bi U
1 1 1
Cartesian
1.014 -3.015 0.479 H
0.013 -0.040 0.006 Bi
-1.056 -3.231 -0.671 U
```

Properties
For the density, the calculation gives 12064 kg/m3. The calculated volume is 62 Å³ per cell. The total magnetic moment is 3.538 μB/f.u. The value obtained for the density of states at the Fermi level is 1.1598 states/eV per atom. Its total DFT energy (no corrections) is -6.122 eV/atom. As for the energy above the most stable polymorph in this dataset: 171 meV/atom. Its space-group type is I4mm (107).



## ScW3S (PBE-GGA)

Data for an optimized crystal structure of ScW3S.

```
ScW3S
1.0
-0.534 1.548 4.164
3.681 -2.193 1.287
2.487 3.579 -1.012
S W Sc
1 3 1
Cartesian
0.000 0.000 0.000 S
1.243 1.790 -0.506 W
-0.267 0.774 2.082 W
1.840 -1.097 0.644 W
2.817 1.467 2.219 Sc
```

Properties
For the density, the calculation gives 11655 kg/m3. Its formation energy without anion corrections is 0.542 eV/atom. The calculated volume is 90 Å³ per cell. The total magnetic moment is 0.000 μB/f.u. The value obtained for the density of states at the Fermi level is 1.0003 states/eV per atom. Its total DFT energy (no corrections) is -9.321 eV/atom. As for the energy above the most stable polymorph in this dataset: 0 meV/atom. Its space-group type is Pm-3m (221).